A relaxed structure of Nd4CoS7, computed with GGA-PBE.

Geometry as extended XYZ:
```
24
Lattice="4.871 -8.438 0.000 4.871 8.438 0.000 0.000 0.000 7.173" Properties=species:S:1:pos:R:3 pbc="T T T"
Nd 4.871 -2.813 5.890
Nd 4.871 2.813 2.303
Nd 7.046 1.679 5.547
Nd 2.803 1.496 5.547
Nd 2.697 -1.679 1.961
Nd 4.766 5.262 5.547
Nd 6.940 -1.496 1.961
Nd 4.977 -5.262 1.961
Co 0.000 0.000 0.824
Co 0.000 0.000 4.411
S 4.955 0.617 3.871
S 2.928 3.838 3.871
S 4.788 -0.617 0.284
S 6.731 3.983 3.871
S 6.815 -3.838 0.284
S 3.012 -3.983 0.284
S 4.871 -2.813 3.182
S 4.871 2.813 6.769
S 4.919 -6.271 4.748
S 1.852 -1.124 4.748
S 4.824 6.271 1.161
S 7.843 -1.042 4.748
S 7.891 1.124 1.161
S 1.900 1.042 1.161
```

As for the space group: P6_3 (173). The electronic total energy is -6.206 eV/atom.

=====

A relaxed structure of HgCN3, computed with GGA-PBE.

Geometry as extended XYZ:
```
5
Lattice="-2.313 -0.660 -3.510 1.336 -4.038 -0.121 -3.312 -1.167 2.403" Properties=species:S:1:pos:R:3 pbc="T T T"
C -2.145 -2.933 -0.614
Hg 0.000 0.000 0.000
N 0.668 -2.019 -0.060
N -1.656 -0.584 1.201
N -1.157 -0.330 -1.755
```

As for the space group: Pm-3m (221). The electronic total energy is -2.985 eV/atom.

=====

A relaxed structure of BeMoBr, computed with GGA-PBE.

Geometry as extended XYZ:
```
3
Lattice="6.687 -0.017 0.010 5.581 2.887 -0.008 1.106 -1.366 2.563" Properties=species:S:1:pos:R:3 pbc="T T T"
Be 12.247 2.861 0.008
Mo 8.422 1.410 0.885
Br 4.974 0.102 1.676
```

As for the space group: Fmm2 (42). The electronic total energy is -4.623 eV/atom.

=====

A relaxed structure of LaGe2RhS, computed with GGA-PBE.

Geometry as extended XYZ:
```
10
Lattice="7.680 0.000 0.001 0.000 4.136 0.000 -3.367 0.000 6.953" Properties=species:S:1:pos:R:3 pbc="T T T"
Ge 3.754 0.000 4.790
Ge 5.437 2.068 1.313
Ge 7.143 0.000 0.863
Ge 5.459 2.068 4.340
Rh 5.811 0.000 3.040
Rh 4.128 2.068 6.516
S 0.646 0.000 3.155
S -1.037 2.068 6.632
La 2.985 0.000 1.510
La 1.302 2.068 4.987
```

As for the space group: Cm (8). The electronic total energy is -5.901 eV/atom.

=====

| no. | uncorrected formation energy (eV per atom) | DOS(E_F) (states/eV per atom) | magnetization (μB/f.u.) |
| --- | --- | --- | --- |
| 1 | -1.62 | 0.613 | 3.00 |
| 2 | 3.92 | 0.229 | 3.29 |
| 3 | 0.79 | 0.851 | 0.00 |
| 4 | -0.77 | 0.421 | 0.00 |